(1)
Compound: V5BO9
Source: Alexandria via LeMat-Bulk
Functional: PBE with a Hubbard U
Structure: relaxed

The structure in CIF format:
```
data_V5BO9
_chemical_formula_sum 'V20 B4 O36'
_cell_length_a 6.152
_cell_length_b 15.992
_cell_length_c 8.374
_cell_angle_alpha 90.00
_cell_angle_beta 90.00
_cell_angle_gamma 90.00
_space_group_name_H-M_alt 'C m c 21'
_space_group_IT_number 36
loop_
_space_group_symop_operation_xyz
'x,y,z'
'-x,-y,z+1/2'
'-x,y,z'
'x,-y,z+1/2'
'x+1/2,y+1/2,z'
'-x+1/2,-y+1/2,z+1/2'
'-x+1/2,y+1/2,z'
'x+1/2,-y+1/2,z+1/2'
loop_
_atom_site_label
_atom_site_type_symbol
_atom_site_fract_x
_atom_site_fract_y
_atom_site_fract_z
V1 V 0.000 0.058 0.000
V2 V 0.000 0.199 0.636
V3 V 0.000 0.246 0.984
V4 V 0.248 0.388 0.802
B1 B 0.000 0.486 0.532
O1 O 0.000 0.045 0.376
O2 O 0.000 0.147 0.846
O3 O 0.000 0.163 0.163
O4 O 0.000 0.308 0.748
O5 O 0.000 0.457 0.911
O6 O 0.197 0.454 0.594
O7 O 0.239 0.189 0.499
```

Output
As for the total magnetization: 10.0 μB/f.u. As for the uncorrected energy: -0.2936 hartree per atom.



(2)
Compound: VB2O
Source: Alexandria via LeMat-Bulk
Functional: PBE with a Hubbard U
Structure: relaxed

The structure in CIF format:
```
data_VB2O
_chemical_formula_sum 'V4 B8 O4'
_cell_length_a 4.868
_cell_length_b 4.868
_cell_length_c 6.118
_cell_angle_alpha 90.00
_cell_angle_beta 90.00
_cell_angle_gamma 90.00
_space_group_name_H-M_alt 'I -4 2 d'
_space_group_IT_number 122
_space_group_name_Hall 'I -4 2bw'
loop_
_atom_site_label
_atom_site_type_symbol
_atom_site_fract_x
_atom_site_fract_y
_atom_site_fract_z
V1 V 0.000 0.000 0.000
B1 B 0.155 0.250 0.625
O1 O 0.000 0.000 0.500
```

Output
As for the total magnetization: 0.0 μB/f.u. As for the uncorrected energy: -0.2152 hartree per atom.



(3)
Compound: VBW2O
Source: Alexandria via LeMat-Bulk
Functional: PBE with a Hubbard U
Structure: relaxed

The structure in CIF format:
```
data_VBW2O
_chemical_formula_sum 'V1 B1 W2 O1'
_cell_length_a 4.418
_cell_length_b 4.418
_cell_length_c 3.383
_cell_angle_alpha 90.00
_cell_angle_beta 90.00
_cell_angle_gamma 90.00
_space_group_name_H-M_alt 'P 4/m m m'
_space_group_IT_number 123
_space_group_name_Hall '-P 4 2'
loop_
_atom_site_label
_atom_site_type_symbol
_atom_site_fract_x
_atom_site_fract_y
_atom_site_fract_z
V1 V 0.000 0.000 0.000
B1 B 0.500 0.500 0.000
W1 W 0.000 0.500 0.500
O1 O 0.500 0.500 0.500
```

Output
As for the total magnetization: 1.7 μB/f.u. As for the uncorrected energy: -0.2141 hartree per atom.



(4)
Compound: BW3O
Source: Alexandria via LeMat-Bulk
Functional: PBE with a Hubbard U
Structure: relaxed

The structure in CIF format:
```
data_BW3O
_chemical_formula_sum 'B1 W3 O1'
_cell_length_a 4.095
_cell_length_b 4.095
_cell_length_c 4.095
_cell_angle_alpha 90.00
_cell_angle_beta 90.00
_cell_angle_gamma 90.00
_space_group_name_H-M_alt 'P m -3 m'
_space_group_IT_number 221
_space_group_name_Hall '-P 4 2 3'
loop_
_atom_site_label
_atom_site_type_symbol
_atom_site_fract_x
_atom_site_fract_y
_atom_site_fract_z
B1 B 0.000 0.000 0.000
W1 W 0.000 0.500 0.500
O1 O 0.500 0.500 0.500
```

Output
The energy relative to the lowest polymorph listed for this composition is 0 meV per atom. As for the total magnetization: 0.0 μB/f.u. As for the uncorrected energy: -0.2014 hartree per atom.